Record 1
The following is a DFT calculation (PBE) of a geometry-optimized Zn3ReBr structure.

energy relative to the elements, uncorrected = 1.74 eV per atom

Cell: 4.905 4.905 4.905 Å, 90.00 90.00 90.00°
Fractional coordinates of all 5 atoms:
Zn: 0.000 0.000 0.500
Zn: 0.000 0.500 0.000
Zn: 0.500 0.000 0.000
Re: 0.500 0.500 0.500
Br: 0.000 0.000 0.000

Record 2
The following is a DFT calculation (PBE) of a geometry-optimized BeCr2Au structure.

ΔH_f (0 K) = 27.99 kJ/mol of atoms

Cell: 2.606 2.606 7.274 Å, 90.00 90.00 90.00°
Fractional coordinates of all 4 atoms:
Be: 0.000 0.000 0.000
Cr: 0.500 0.500 0.206
Cr: 0.500 0.500 0.794
Au: 0.000 0.000 0.500

Record 3
The following is a DFT calculation (PBE) of a geometry-optimized LiPmInPt structure.

ΔH_f (0 K) = -68.33 kJ/mol of atoms

Cell: 6.889 6.889 6.889 Å, 90.00 90.00 90.00°
Fractional coordinates of all 16 atoms:
Li: 0.000 0.000 0.000
Li: 0.000 0.500 0.500
Li: 0.500 0.000 0.500
Li: 0.500 0.500 0.000
Pm: 0.250 0.250 0.250
Pm: 0.250 0.750 0.750
Pm: 0.750 0.250 0.750
Pm: 0.750 0.750 0.250
In: 0.250 0.250 0.750
In: 0.250 0.750 0.250
In: 0.750 0.250 0.250
In: 0.750 0.750 0.750
Pt: 0.000 0.000 0.500
Pt: 0.000 0.500 0.000
Pt: 0.500 0.000 0.000
Pt: 0.500 0.500 0.500

Record 4
The following is a DFT calculation (PBE) of a geometry-optimized Y2ScP structure.

ΔH_f (0 K) = -29.24 kJ/mol of atoms

Cell: 4.367 4.367 9.724 Å, 90.00 90.00 90.00°
Fractional coordinates of all 8 atoms:
Y: 0.000 0.500 0.250
Y: 0.000 0.500 0.750
Y: 0.500 0.000 0.250
Y: 0.500 0.000 0.750
Sc: 0.000 0.000 0.000
Sc: 0.500 0.500 0.500
P: 0.000 0.000 0.500
P: 0.500 0.500 0.000

Record order is preserved below.
N(E_F): 0.973; 0.613; 1.465; 1.373 states/eV/atom